Entry 1:
# HfTeIr

A geometry-optimized HfTeIr structure (PBE, Alexandria). Values from VASP.

Values from the calculation:
* energy above the most stable polymorph in this dataset: 35 meV per atom
* total magnetic moment: 0.00 μB/f.u.
* crystal system: monoclinic
* SG: No. 6
* D(E_F): 2.8 states/eV/cell

```
&SYSTEM
  ibrav = 0, nat = 6, ntyp = 3
/
ATOMIC_SPECIES
Te 127.60 Te.upf
Ir 192.22 Ir.upf
Hf 178.49 Hf.upf
ATOMIC_POSITIONS angstrom
Te -5.393 -0.730 4.535
Ir -1.882 -0.146 1.571
Hf -4.432 -1.284 1.694
Te -7.945 -4.039 4.890
Ir -3.975 1.162 3.163
Hf -3.477 1.914 0.566
CELL_PARAMETERS angstrom
-1.689 4.058 0.967
-2.054 -0.263 -2.485
-6.688 -4.771 6.034
```

=====

Entry 2:
# NdIn2Te4Pb

A geometry-optimized NdIn2Te4Pb structure (PBE, Alexandria). Values from VASP.

Values from the calculation:
* uncorrected energy: -3.952 eV/atom
* total magnetic moment: 0.00 μB/f.u.
* crystal system: monoclinic
* SG: No. 10
* D(E_F): 4.0 states/eV/cell

```
&SYSTEM
  ibrav = 0, nat = 8, ntyp = 4
/
ATOMIC_SPECIES
Nd 144.24 Nd.upf
Te 127.60 Te.upf
In 114.82 In.upf
Pb 207.20 Pb.upf
ATOMIC_POSITIONS angstrom
Nd 0.000 5.453 3.620
Te 4.501 2.763 1.899
In 2.251 1.395 3.734
Pb 2.251 4.058 -0.114
Te 2.251 6.752 1.792
Te 0.000 8.144 5.341
In 0.000 2.791 7.468
Te 2.251 4.155 5.447
CELL_PARAMETERS angstrom
4.501 0.000 0.000
0.000 8.116 -0.229
0.000 2.791 7.468
```

=====

Entry 3:
# V2FeCuN

A geometry-optimized V2FeCuN structure (PBE, Alexandria). Values from VASP.

Values from the calculation:
* uncorrected energy: -6.291 eV/atom
* total magnetic moment: 0.03 μB/f.u.
* crystal system: tetragonal
* SG: No. 123
* D(E_F): 9.2 states/eV/cell

```
&SYSTEM
  ibrav = 0, nat = 5, ntyp = 4
/
ATOMIC_SPECIES
Fe 55.84 Fe.upf
V 50.94 V.upf
Cu 63.55 Cu.upf
N 14.01 N.upf
ATOMIC_POSITIONS angstrom
Fe 2.280 1.651 2.280
V 2.280 0.000 0.000
Cu 0.000 0.000 0.000
N 0.000 1.651 0.000
V 0.000 0.000 2.280
CELL_PARAMETERS angstrom
4.560 0.000 0.000
0.000 3.302 0.000
0.000 0.000 4.560
```

=====

Entry 4:
# CrCuSi2

A geometry-optimized CrCuSi2 structure (PBE, Alexandria). Values from VASP.

Values from the calculation:
* uncorrected energy: -5.931 eV/atom
* total magnetic moment: 1.90 μB/f.u.
* crystal system: cubic
* SG: No. 225
* D(E_F): 3.3 states/eV/cell

```
&SYSTEM
  ibrav = 0, nat = 4, ntyp = 3
/
ATOMIC_SPECIES
Cu 63.55 Cu.upf
Cr 52.00 Cr.upf
Si 28.09 Si.upf
ATOMIC_POSITIONS angstrom
Cu 2.933 2.933 2.933
Cr 0.000 0.000 0.000
Si 1.466 1.466 1.466
Si 4.399 4.399 4.399
CELL_PARAMETERS angstrom
0.000 2.933 2.933
2.933 0.000 2.933
2.933 2.933 0.000
```

=====

Entry 5:
# Ti3MnC

A geometry-optimized Ti3MnC structure (PBE, Alexandria). Values from VASP.

Values from the calculation:
* energy above the most stable polymorph in this dataset: 0 meV per atom
* E_form: -0.16 eV/atom
* total magnetic moment: 0.00 μB/f.u.
* crystal system: cubic
* SG: No. 221
* D(E_F): 7.2 states/eV/cell

```
&SYSTEM
  ibrav = 0, nat = 5, ntyp = 3
/
ATOMIC_SPECIES
Ti 47.87 Ti.upf
Mn 54.94 Mn.upf
C 12.01 C.upf
ATOMIC_POSITIONS angstrom
Ti 1.522 -0.879 1.074
Mn 0.063 -0.383 3.546
Ti -0.073 1.541 1.364
Ti -1.386 -1.046 1.108
C 0.000 0.000 0.000
CELL_PARAMETERS angstrom
-2.771 -2.091 2.216
3.043 -1.757 2.148
-0.145 3.083 2.728
```

=====

Entry 6:
# Tm2Be3Si4Ni

A geometry-optimized Tm2Be3Si4Ni structure (PBE, Alexandria). Values from VASP.

Values from the calculation:
* uncorrected energy: -5.258 eV/atom
* total magnetic moment: 0.00 μB/f.u.
* crystal system: tetragonal
* SG: No. 115
* D(E_F): 2.7 states/eV/cell

```
&SYSTEM
  ibrav = 0, nat = 10, ntyp = 4
/
ATOMIC_SPECIES
Si 28.09 Si.upf
Tm 168.93 Tm.upf
Be 9.01 Be.upf
Ni 58.69 Ni.upf
ATOMIC_POSITIONS angstrom
Si 1.923 1.923 0.000
Tm 1.923 0.000 2.409
Be 0.000 1.923 1.291
Tm 0.000 1.923 7.155
Si 0.000 0.000 0.000
Ni 1.923 1.923 4.782
Si 0.000 1.923 3.515
Be 0.000 0.000 4.782
Si 1.923 0.000 6.049
Be 1.923 0.000 8.273
CELL_PARAMETERS angstrom
3.846 0.000 0.000
0.000 3.846 0.000
0.000 0.000 9.564
```

=====

Entry 7:
# Tb4Y5Er3

A geometry-optimized Tb4Y5Er3 structure (PBE, Alexandria). Values from VASP.

Values from the calculation:
* E_form: 0.24 eV/atom
* total magnetic moment: 0.78 μB/f.u.
* crystal system: monoclinic
* SG: No. 12
* D(E_F): 19.1 states/eV/cell

```
&SYSTEM
  ibrav = 0, nat = 12, ntyp = 3
/
ATOMIC_SPECIES
Y 88.91 Y.upf
Tb 158.93 Tb.upf
Er 167.26 Er.upf
ATOMIC_POSITIONS angstrom
Y 0.000 13.057 9.070
Tb 0.000 19.535 10.194
Er 0.000 9.761 8.074
Y 0.000 17.999 13.184
Y 0.000 14.315 13.118
Y 0.000 8.116 4.956
Er 0.000 4.511 5.685
Er 0.000 16.353 10.067
Y 0.000 11.799 5.023
Tb 0.000 6.579 7.946
Tb 0.000 15.416 6.506
Tb 0.000 10.699 11.635
CELL_PARAMETERS angstrom
2.943 8.546 3.386
-2.943 8.546 3.386
0.000 9.023 11.369
```

=====

Entry 8:
# YSbH

A geometry-optimized YSbH structure (PBE, Alexandria). Values from VASP.

Values from the calculation:
* energy above the most stable polymorph in this dataset: 118 meV per atom
* total magnetic moment: 0.00 μB/f.u.
* crystal system: orthorhombic
* SG: No. 44
* D(E_F): 0.1 states/eV/cell

```
&SYSTEM
  ibrav = 0, nat = 6, ntyp = 3
/
ATOMIC_SPECIES
Sb 121.76 Sb.upf
H 1.01 H.upf
Y 88.91 Y.upf
ATOMIC_POSITIONS angstrom
Sb 3.888 -7.650 1.602
H 3.179 -2.997 -1.185
H 2.900 -7.328 -1.131
Y 2.819 -5.134 0.017
Y 2.650 -2.980 3.811
Sb 1.270 -2.554 0.986
CELL_PARAMETERS angstrom
-1.069 -4.123 -0.099
3.920 -3.146 -2.956
2.554 -2.967 4.322
```

=====

Entry 9:
# Mn2RhAu2

A geometry-optimized Mn2RhAu2 structure (PBE, Alexandria). Values from VASP.

Values from the calculation:
* energy above the most stable polymorph in this dataset: 361 meV per atom
* E_form: 0.52 eV/atom
* total magnetic moment: 0.00 μB/f.u.
* crystal system: tetragonal
* SG: No. 139
* D(E_F): 7.8 states/eV/cell

```
&SYSTEM
  ibrav = 0, nat = 5, ntyp = 3
/
ATOMIC_SPECIES
Mn 54.94 Mn.upf
Au 196.97 Au.upf
Rh 102.91 Rh.upf
ATOMIC_POSITIONS angstrom
Mn 1.552 3.105 3.959
Au 1.552 1.552 1.750
Rh 0.000 0.000 0.000
Au 3.105 3.105 6.168
Mn 3.105 1.552 3.959
CELL_PARAMETERS angstrom
3.105 0.000 0.000
0.000 3.105 0.000
1.552 1.552 7.918
```

=====

Entry 10:
# Sc2BeSi

A geometry-optimized Sc2BeSi structure (PBE, Alexandria). Values from VASP.

Values from the calculation:
* energy above the most stable polymorph in this dataset: 313 meV per atom
* total magnetic moment: 0.00 μB/f.u.
* crystal system: tetragonal
* SG: No. 119
* D(E_F): 3.2 states/eV/cell

```
&SYSTEM
  ibrav = 0, nat = 4, ntyp = 3
/
ATOMIC_SPECIES
Si 28.09 Si.upf
Sc 44.96 Sc.upf
Be 9.01 Be.upf
ATOMIC_POSITIONS angstrom
Si 4.034 2.353 0.000
Sc 1.331 2.353 1.362
Sc 0.000 0.000 0.000
Be 2.703 0.001 1.362
CELL_PARAMETERS angstrom
5.406 0.001 0.000
2.662 4.705 0.000
-4.034 -2.353 2.723
```

=====

Entry 11:
# Zn2Ni7Ge2

A geometry-optimized Zn2Ni7Ge2 structure (PBE, Alexandria). Values from VASP.

Values from the calculation:
* E_form: 0.09 eV/atom
* total magnetic moment: 0.00 μB/f.u.
* crystal system: orthorhombic
* SG: No. 65
* D(E_F): 7.8 states/eV/cell

```
&SYSTEM
  ibrav = 0, nat = 11, ntyp = 3
/
ATOMIC_SPECIES
Ge 72.64 Ge.upf
Ni 58.69 Ni.upf
Zn 65.41 Zn.upf
ATOMIC_POSITIONS angstrom
Ge 2.697 3.351 2.870
Ni 2.422 4.611 -0.503
Ni -0.653 2.094 2.384
Ni 0.000 0.000 0.000
Zn 0.412 6.705 3.156
Ni 1.765 1.459 1.880
Ni 1.769 5.245 1.880
Zn 3.122 -0.001 0.604
Ni 1.112 2.093 4.262
Ge 0.836 3.353 0.890
Ni 4.186 4.609 1.376
CELL_PARAMETERS angstrom
4.839 -0.002 -1.009
0.003 6.707 0.003
-1.308 -0.002 4.766
```

=====

Entry 12:
# CuMo2Rh

A geometry-optimized CuMo2Rh structure (PBE, Alexandria). Values from VASP.

Values from the calculation:
* E_form: 0.11 eV/atom
* total magnetic moment: 0.00 μB/f.u.
* crystal system: tetragonal
* SG: No. 99
* D(E_F): 6.0 states/eV/cell

```
&SYSTEM
  ibrav = 0, nat = 4, ntyp = 3
/
ATOMIC_SPECIES
Rh 102.91 Rh.upf
Mo 95.94 Mo.upf
Cu 63.55 Cu.upf
ATOMIC_POSITIONS angstrom
Rh 0.000 0.000 2.946
Mo 1.605 1.605 1.384
Mo 0.000 0.000 5.644
Cu 1.605 1.605 4.250
CELL_PARAMETERS angstrom
3.210 0.000 0.000
0.000 3.210 0.000
0.000 0.000 5.690
```

=====

Entry 13:
# B5C7

A geometry-optimized B5C7 structure (PBE, Alexandria). Values from VASP.

Values from the calculation:
* energy above the most stable polymorph in this dataset: 77 meV per atom
* E_form: 0.34 eV/atom
* total magnetic moment: 0.00 μB/f.u.
* crystal system: monoclinic
* SG: No. 8
* D(E_F): 1.2 states/eV/cell

```
&SYSTEM
  ibrav = 0, nat = 12, ntyp = 2
/
ATOMIC_SPECIES
B 10.81 B.upf
C 12.01 C.upf
ATOMIC_POSITIONS angstrom
B -8.087 -2.218 -3.034
C -2.208 -1.293 0.257
C -1.395 -2.609 0.390
B -5.140 -2.373 -3.010
C -5.549 -3.340 -1.812
C -3.536 -1.532 -0.439
B -3.200 -2.087 -1.892
B 2.249 -1.140 1.016
C -0.037 -2.337 1.059
C -2.836 -1.166 -3.053
C 0.797 -1.362 0.193
B -1.322 -0.259 -0.659
CELL_PARAMETERS angstrom
-6.706 -1.389 -0.625
-4.778 -0.562 -5.575
5.792 -1.419 4.321
```

=====

Entry 14:
# Th2TcH8

A geometry-optimized Th2TcH8 structure (PBE, Alexandria). Values from VASP.

Values from the calculation:
* uncorrected energy: -5.002 eV/atom
* total magnetic moment: 0.00 μB/f.u.
* crystal system: monoclinic
* SG: No. 12
* D(E_F): 5.5 states/eV/cell

```
&SYSTEM
  ibrav = 0, nat = 11, ntyp = 3
/
ATOMIC_SPECIES
H 1.01 H.upf
Th 232.04 Th.upf
Tc 98.00 Tc.upf
ATOMIC_POSITIONS angstrom
H 0.000 1.266 4.943
H 1.866 1.571 6.273
H 1.866 3.695 1.470
Th 1.866 0.039 4.545
H 0.000 0.137 3.047
H 1.866 2.274 3.251
H 0.000 0.839 0.025
Tc 1.866 0.000 0.000
Th 0.000 2.372 1.753
H 0.000 -1.284 4.829
H 1.866 1.144 1.355
CELL_PARAMETERS angstrom
3.733 0.000 0.000
0.000 4.486 -0.136
-1.866 -2.076 6.434
```

=====

Entry 15:
# HfNbReTc

A geometry-optimized HfNbReTc structure (PBE, Alexandria). Values from VASP.

Values from the calculation:
* energy above the most stable polymorph in this dataset: 0 meV per atom
* E_form: -0.39 eV/atom
* total magnetic moment: 0.00 μB/f.u.
* crystal system: cubic
* SG: No. 216
* D(E_F): 2.0 states/eV/cell

```
&SYSTEM
  ibrav = 0, nat = 4, ntyp = 4
/
ATOMIC_SPECIES
Re 186.21 Re.upf
Nb 92.91 Nb.upf
Hf 178.49 Hf.upf
Tc 98.00 Tc.upf
ATOMIC_POSITIONS angstrom
Re 6.854 3.957 2.798
Nb 0.000 0.000 0.000
Hf 4.569 2.638 1.865
Tc 2.285 1.319 0.933
CELL_PARAMETERS angstrom
4.569 0.000 0.000
2.285 3.957 0.000
2.285 1.319 3.731
```

=====

Entry 16:
# ScTa2Mo2

A geometry-optimized ScTa2Mo2 structure (PBE, Alexandria). Values from VASP.

Values from the calculation:
* E_form: 0.25 eV/atom
* total magnetic moment: 0.00 μB/f.u.
* crystal system: tetragonal
* SG: No. 127
* D(E_F): 10.3 states/eV/cell

```
&SYSTEM
  ibrav = 0, nat = 10, ntyp = 3
/
ATOMIC_SPECIES
Mo 95.94 Mo.upf
Ta 180.95 Ta.upf
Sc 44.96 Sc.upf
ATOMIC_POSITIONS angstrom
Mo -2.731 -2.661 7.255
Mo 0.384 -0.396 2.867
Ta 0.834 1.133 5.137
Sc -1.173 -1.529 5.061
Sc 0.000 0.000 0.000
Ta -2.221 0.294 2.471
Mo -3.345 -2.134 3.206
Ta -1.411 -0.483 8.219
Ta -4.466 -1.322 5.552
Mo 0.998 -0.923 6.915
CELL_PARAMETERS angstrom
-5.990 -3.355 3.392
3.643 0.298 6.729
-1.284 2.868 0.569
```

=====

Entry 17:
# LaPr5Pb4

A geometry-optimized LaPr5Pb4 structure (PBE, Alexandria). Values from VASP.

Values from the calculation:
* E_form: -0.41 eV/atom
* total magnetic moment: 0.00 μB/f.u.
* crystal system: monoclinic
* SG: No. 12
* D(E_F): 6.9 states/eV/cell

```
&SYSTEM
  ibrav = 0, nat = 10, ntyp = 3
/
ATOMIC_SPECIES
Pb 207.20 Pb.upf
Pr 140.91 Pr.upf
La 138.91 La.upf
ATOMIC_POSITIONS angstrom
Pb 0.000 1.790 -0.580
Pr 2.820 3.431 -1.431
Pr 2.820 2.209 5.199
Pr 0.000 4.576 1.146
La 2.820 0.000 0.000
Pb 2.820 1.441 8.409
Pb 2.820 -0.581 3.480
Pr 0.000 1.022 2.630
Pr 2.820 -1.345 6.683
Pb 0.000 3.812 4.349
CELL_PARAMETERS angstrom
5.640 0.000 0.000
0.000 6.861 -2.861
-2.820 -3.630 10.690
```

=====

Entry 18:
# CaY3

A geometry-optimized CaY3 structure (PBE, Alexandria). Values from VASP.

Values from the calculation:
* E_form: 0.10 eV/atom
* total magnetic moment: 0.00 μB/f.u.
* crystal system: monoclinic
* SG: No. 10
* D(E_F): 7.7 states/eV/cell

```
&SYSTEM
  ibrav = 0, nat = 4, ntyp = 2
/
ATOMIC_SPECIES
Y 88.91 Y.upf
Ca 40.08 Ca.upf
ATOMIC_POSITIONS angstrom
Y -0.511 0.029 3.659
Ca 0.000 0.000 0.000
Y 1.624 2.285 7.569
Y 2.091 2.453 4.028
CELL_PARAMETERS angstrom
-3.068 -2.593 3.171
2.805 -0.658 2.176
1.376 5.564 5.881
```

=====

Entry 19:
# TmZrScNb

A geometry-optimized TmZrScNb structure (PBE, Alexandria). Values from VASP.

Values from the calculation:
* E_form: 0.18 eV/atom
* total magnetic moment: 0.00 μB/f.u.
* crystal system: cubic
* SG: No. 216
* D(E_F): 5.5 states/eV/cell

```
&SYSTEM
  ibrav = 0, nat = 4, ntyp = 4
/
ATOMIC_SPECIES
Nb 92.91 Nb.upf
Sc 44.96 Sc.upf
Tm 168.93 Tm.upf
Zr 91.22 Zr.upf
ATOMIC_POSITIONS angstrom
Nb -4.827 3.658 -1.236
Sc 0.000 0.000 0.000
Tm -2.413 1.829 -0.618
Zr -7.240 5.487 -1.854
CELL_PARAMETERS angstrom
-2.791 2.037 -3.678
-4.964 0.635 0.656
-1.899 4.644 0.550
```